[1]
Below is an optimized crystal structure of AcCrB12, with properties calculated at the PBE level.

The size of the total moment comes out at 0.33 μB per atom. As for the density of states at the Fermi level: 6.0 states/eV/cell.

The structure belongs to space group P4/mmm (No. 123); the cell edges are 4.181, 4.181 and 8.309 Å and the angles 90.00°, 90.00° and 90.00°. Symmetry generates all atoms from Ac at (0.000, 0.000, 0.000), Cr at (0.000, 0.000, 0.500), B at (0.202, 0.500, 0.253), B at (0.500, 0.500, 0.102) and B at (0.500, 0.500, 0.401).

[2]
Below is an optimized crystal structure of SmGdSnRh, with properties calculated at the PBE level.

The size of the total moment comes out at 1.76 μB per atom. As for the density of states at the Fermi level: 10.8 states/eV/cell.

The structure belongs to space group F-43m (No. 216); the cell edges are 7.328, 7.328 and 7.328 Å and the angles 90.00°, 90.00° and 90.00°. Symmetry generates all atoms from Sm at (0.000, 0.000, 0.000), Gd at (0.000, 0.000, 0.500), Sn at (0.250, 0.250, 0.250) and Rh at (0.250, 0.250, 0.750).

[3]
Below is an optimized crystal structure of KZrP2, with properties calculated at the PBE level.

The size of the total moment comes out at 0.00 μB per atom. As for the density of states at the Fermi level: 1.8 states/eV/cell.

The structure belongs to space group P4/mmm (No. 123); the cell edges are 5.251, 5.251 and 2.880 Å and the angles 90.00°, 90.00° and 90.00°. Symmetry generates all atoms from K at (0.000, 0.000, 0.000), Zr at (0.500, 0.500, 0.000) and P at (0.000, 0.500, 0.500).

[4]
Below is an optimized crystal structure of V2FePtC, with properties calculated at the PBE level.

The size of the total moment comes out at 0.17 μB per atom. As for the density of states at the Fermi level: 4.6 states/eV/cell.

The structure belongs to space group P4/mmm (No. 123); the cell edges are 3.977, 3.977 and 3.774 Å and the angles 90.00°, 90.00° and 90.00°. Symmetry generates all atoms from V at (0.000, 0.500, 0.000), Fe at (0.000, 0.000, 0.500), Pt at (0.500, 0.500, 0.500) and C at (0.000, 0.000, 0.000).

[5]
Below is an optimized crystal structure of TiSe2IN, with properties calculated at the PBE level.

The size of the total moment comes out at 0.05 μB per atom. As for the density of states at the Fermi level: 6.7 states/eV/cell. The formation energy from raw total energies is 120 kJ per mole of atoms.

The structure belongs to space group P4/mmm (No. 123); the cell edges are 5.454, 5.454 and 3.912 Å and the angles 90.00°, 90.00° and 90.00°. Symmetry generates all atoms from Ti at (0.000, 0.000, 0.000), Se at (0.000, 0.500, 0.500), I at (0.500, 0.500, 0.500) and N at (0.500, 0.500, 0.000).

[6]
Below is an optimized crystal structure of SrMnVCo2, with properties calculated at the PBE level.

The size of the total moment comes out at 0.05 μB per atom. As for the density of states at the Fermi level: 12.2 states/eV/cell.

The structure belongs to space group P4/mmm (No. 123); the cell edges are 4.396, 4.396 and 4.638 Å and the angles 90.00°, 90.00° and 90.00°. Symmetry generates all atoms from Sr at (0.000, 0.000, 0.000), Mn at (0.500, 0.500, 0.500), V at (0.000, 0.000, 0.500) and Co at (0.000, 0.500, 0.000).

[7]
Below is an optimized crystal structure of Sr2Sn4Ir3Au, with properties calculated at the PBE level.

The size of the total moment comes out at 0.00 μB per atom. As for the density of states at the Fermi level: 7.4 states/eV/cell.

The structure belongs to space group P-4m2 (No. 115); the cell edges are 4.687, 4.687 and 10.719 Å and the angles 90.00°, 90.00° and 90.00°. Symmetry generates all atoms from Sr at (0.000, 0.500, 0.248), Sn at (0.000, 0.000, 0.500), Sn at (0.000, 0.500, 0.869), Sn at (0.500, 0.500, 0.500), Ir at (0.000, 0.000, 0.000), Ir at (0.000, 0.500, 0.624) and Au at (0.500, 0.500, 0.000).

[8]
Below is an optimized crystal structure of CsTe3Rh, with properties calculated at the PBE level.

The size of the total moment comes out at 0.00 μB per atom. As for the density of states at the Fermi level: 6.6 states/eV/cell. The formation energy from raw total energies is -17 kJ per mole of atoms.

The structure belongs to space group Pm-3m (No. 221); the cell edges are 5.436, 5.436 and 5.436 Å and the angles 90.00°, 90.00° and 90.00°. Symmetry generates all atoms from Cs at (0.000, 0.000, 0.000), Te at (0.000, 0.500, 0.500) and Rh at (0.500, 0.500, 0.500).

no.,energy (eV for the cell shown)
1,-95.50
2,-130.37
3,-21.03
4,-43.50
5,-18.52
6,-20.18
7,-53.75
8,-18.51